Entry 1:
DFT (GGA-PBE) results for a geometry-optimized Zr2GaPt6 structure.

Structure (POSCAR):
```
Zr2GaPt6
1.0
3.8676 0.0000 -0.1509
0.0000 7.3057 0.0000
-1.7014 -3.6529 6.1597
Zr Ga Pt
2 1 6
Direct
0.6519 0.6534 0.3068 Zr
0.3481 0.3466 0.6932 Zr
0.0000 0.0000 0.0000 Ga
0.1646 0.3949 0.3304 Pt
0.8354 0.0645 0.6696 Pt
0.8354 0.6051 0.6696 Pt
0.5000 0.2243 0.0000 Pt
0.1646 0.9355 0.3304 Pt
0.5000 0.7757 0.0000 Pt
```

Properties
**Space-group type**: C2/m (12)



Entry 2:
DFT (GGA-PBE) results for a geometry-optimized EuDy2Al structure.

Structure (POSCAR):
```
EuDy2Al
1.0
-2.4986 0.7677 -2.4264
1.6444 -2.1082 -2.3603
-5.0791 -7.2497 2.9366
Eu Al Dy
1 1 2
Direct
0.5000 0.5000 0.0000 Eu
0.5000 0.5000 0.5000 Al
0.0000 0.0000 0.6977 Dy
0.0000 0.0000 0.3023 Dy
```

Properties
**E above lowest polymorph**: 0.000 eV per formula unit
**Space-group type**: P4/mmm (123)



Entry 3:
DFT (GGA-PBE) results for a geometry-optimized ReAuSe2 structure.

Structure (POSCAR):
```
ReAuSe2
1.0
6.9216 0.0018 0.0062
-3.9891 4.5205 -0.0212
-1.0566 0.6921 2.3859
Au Re Se
1 1 2
Direct
0.0000 0.5000 0.5000 Au
0.5000 0.5000 0.0000 Re
0.0000 0.0000 0.0000 Se
0.5000 0.0000 0.5000 Se
```

Properties
**E above lowest polymorph**: 2.277 eV per formula unit
**Space-group type**: Cmmm (65)
**Raw formation energy**: 682 meV per atom



Entry 4:
DFT (GGA-PBE) results for a geometry-optimized K2SiNi structure.

Structure (POSCAR):
```
K2SiNi
1.0
6.1524 -0.0678 -0.0114
1.9086 5.8492 0.0114
-3.3591 -3.8268 3.4537
K Ni Si
2 1 1
Direct
0.0407 0.0407 0.0000 K
0.7192 0.2192 0.5000 K
0.3858 0.3858 0.0000 Ni
0.3544 0.8544 0.5000 Si
```

Properties
**Space-group type**: Imm2 (44)
**Raw formation energy**: 130 meV per atom



Entry 5:
DFT (GGA-PBE) results for a geometry-optimized Ce2Zn16Ag structure.

Structure (POSCAR):
```
Ce2Zn16Ag
1.0
-4.6118 -4.5805 2.1898
3.3632 -5.6449 -1.9668
2.9534 -1.4103 6.0277
Ce Zn Ag
2 16 1
Direct
0.6601 0.6601 0.6601 Ce
0.3388 0.3388 0.3388 Ce
0.7055 0.9995 0.2935 Zn
0.9995 0.2935 0.7055 Zn
0.2935 0.7055 0.9995 Zn
0.9995 0.7055 0.2935 Zn
0.7055 0.2935 0.9995 Zn
0.2935 0.9995 0.7055 Zn
0.3516 0.8388 0.3516 Zn
0.8388 0.3516 0.3516 Zn
0.3516 0.3516 0.8388 Zn
0.6481 0.1600 0.6481 Zn
0.1600 0.6481 0.6481 Zn
0.6481 0.6481 0.1600 Zn
0.0003 0.4976 0.0003 Zn
0.4976 0.0003 0.0003 Zn
0.0003 0.0003 0.4976 Zn
0.1061 0.1061 0.1061 Zn
0.9017 0.9017 0.9017 Ag
```

Properties
**Space-group type**: R3m (160)



Entry 6:
DFT (GGA-PBE) results for a geometry-optimized CaTi2Ru2 structure.

Structure (POSCAR):
```
CaTi2Ru2
1.0
4.1542 0.0000 0.0000
0.0000 4.1542 0.0000
2.0771 2.0771 5.5835
Ru Ca Ti
2 1 2
Direct
0.3821 0.3821 0.2357 Ru
0.6179 0.6179 0.7643 Ru
0.0000 0.0000 0.0000 Ca
0.7500 0.2500 0.5000 Ti
0.2500 0.7500 0.5000 Ti
```

Properties
**E above lowest polymorph**: 0.000 eV per formula unit
**Space-group type**: I4/mmm (139)



Entry 7:
DFT (GGA-PBE) results for a geometry-optimized Dy4Tl3Hg2 structure.

Structure (POSCAR):
```
Dy4Tl3Hg2
1.0
5.1590 0.0002 0.0002
2.5792 4.4317 0.5671
-0.0005 -1.3396 10.4740
Dy Tl Hg
4 3 2
Direct
0.6666 0.6667 0.8871 Dy
0.0000 0.9999 0.3284 Dy
0.0000 0.0001 0.6716 Dy
0.3334 0.3333 0.1129 Dy
0.3333 0.3333 0.4414 Tl
0.0000 0.0000 0.0000 Tl
0.6667 0.6667 0.5586 Tl
0.3333 0.3334 0.7995 Hg
0.6667 0.6666 0.2005 Hg
```

Properties
**Space-group type**: P-3m1 (164)



Entry 8:
DFT (GGA-PBE) results for a geometry-optimized FeP2 structure.

Structure (POSCAR):
```
FeP2
1.0
-1.3863 1.3863 10.2510
1.3863 -1.3863 10.2510
1.3863 1.3863 -10.2510
Fe P
2 4
Direct
0.7500 0.2500 0.5000 Fe
0.0000 0.0000 0.0000 Fe
0.1842 0.6842 0.5000 P
0.5658 0.5658 0.0000 P
0.3158 0.8158 0.5000 P
0.4342 0.4342 0.0000 P
```

Properties
**Space-group type**: I4_1/amd (141)



Entry 9:
DFT (GGA-PBE) results for a geometry-optimized Na3Pm3PaS8 structure.

Structure (POSCAR):
```
Na3Pm3PaS8
1.0
8.1948 0.0000 0.0000
-4.0974 7.0965 -0.0255
0.0000 -4.7089 6.7319
Na Pm Pa S
3 3 1 8
Direct
0.0000 0.0000 0.0000 Na
0.0000 0.5000 0.0000 Na
0.5000 0.5000 0.0000 Na
0.5000 0.0000 0.5000 Pm
0.5000 0.5000 0.5000 Pm
0.0000 0.5000 0.5000 Pm
0.0000 0.0000 0.5000 Pa
0.2559 0.5118 0.2678 S
0.7441 0.4882 0.7322 S
0.7652 0.5305 0.2775 S
0.2348 0.4695 0.7225 S
0.7652 0.0122 0.2775 S
0.2348 0.9878 0.7225 S
0.2469 0.0122 0.2775 S
0.7531 0.9878 0.7225 S
```

Properties
**Space-group type**: R-3m (166)
**Raw formation energy**: -1758 meV per atom



Entry 10:
DFT (GGA-PBE) results for a geometry-optimized Na4Zr3MnTe8 structure.

Structure (POSCAR):
```
Na4Zr3MnTe8
1.0
8.3016 0.0000 0.0000
0.0000 9.0445 0.5122
-4.1508 -4.1516 5.8736
Na Zr Mn Te
4 3 1 8
Direct
0.5000 0.0000 0.0000 Na
0.5000 0.0000 0.5000 Na
0.0000 0.0000 0.0000 Na
0.0000 0.0000 0.5000 Na
0.5000 0.5000 0.0000 Zr
0.5000 0.5000 0.5000 Zr
0.0000 0.5000 0.5000 Zr
0.0000 0.5000 0.0000 Mn
0.2379 0.7201 0.9824 Te
0.2381 0.7202 0.4762 Te
0.2579 0.2740 0.5158 Te
0.7445 0.7201 0.9824 Te
0.2555 0.2799 0.0176 Te
0.7421 0.7260 0.4842 Te
0.7619 0.2798 0.5238 Te
0.7621 0.2799 0.0176 Te
```

Properties
**Space-group type**: C2/m (12)
**Raw formation energy**: -812 meV per atom



Entry 11:
DFT (GGA-PBE) results for a geometry-optimized Cu5S structure.

Structure (POSCAR):
```
Cu5S
1.0
-3.0326 -1.9490 -0.2134
1.9757 -2.9998 -0.6801
-0.6940 0.4346 5.8926
S Cu
1 5
Direct
0.0000 0.0000 0.0000 S
0.5000 0.8277 0.6554 Cu
0.0000 0.6687 0.3374 Cu
0.5000 0.5000 0.0000 Cu
0.0000 0.3313 0.6626 Cu
0.5000 0.1723 0.3446 Cu
```

Properties
**Space-group type**: Cmmm (65)
**Raw formation energy**: 60 meV per atom



Entry 12:
DFT (GGA-PBE) results for a geometry-optimized LaAlAgAu structure.

Structure (POSCAR):
```
LaAlAgAu
1.0
-3.9018 1.7311 0.1310
-1.0766 -2.6657 3.1580
3.2388 6.7832 6.8299
La Al Ag Au
2 2 2 2
Direct
0.0000 0.5000 0.7813 La
0.5000 0.0000 0.2187 La
0.0000 0.5000 0.3499 Al
0.5000 0.0000 0.6501 Al
0.0000 0.0000 0.5000 Ag
0.5000 0.5000 0.5000 Ag
0.5000 0.0000 0.9089 Au
0.0000 0.5000 0.0911 Au
```

Properties
**E above lowest polymorph**: 0.000 eV per formula unit
**Space-group type**: P4/nmm (129)



Entry 13:
DFT (GGA-PBE) results for a geometry-optimized Cs3TiBr8 structure.

Structure (POSCAR):
```
Cs3TiBr8
1.0
8.0326 0.0000 0.0000
0.0000 8.0326 0.0000
-4.0163 -4.0163 7.8246
Cs Ti Br
3 1 8
Direct
0.7500 0.2500 0.5000 Cs
0.5000 0.5000 0.0000 Cs
0.2500 0.7500 0.5000 Cs
0.0000 0.0000 0.0000 Ti
0.3048 0.3048 0.2065 Br
0.3048 0.9018 0.2065 Br
0.0982 0.6952 0.7935 Br
0.0982 0.0982 0.7935 Br
0.9018 0.9018 0.2065 Br
0.9018 0.3048 0.2065 Br
0.6952 0.0982 0.7935 Br
0.6952 0.6952 0.7935 Br
```

Properties
**Space-group type**: I4/mmm (139)
**Raw formation energy**: -1105 meV per atom



Entry 14:
DFT (GGA-PBE) results for a geometry-optimized Li3Ca2Mg2 structure.

Structure (POSCAR):
```
Li3Ca2Mg2
1.0
7.8326 0.0000 0.0000
-2.6109 7.3846 0.0000
-2.6109 -3.6923 6.3953
Li Ca Mg
6 4 4
Direct
0.7034 0.7500 0.9534 Li
0.7966 0.2500 0.5466 Li
0.0466 0.2966 0.2500 Li
0.4534 0.2034 0.7500 Li
0.2500 0.9534 0.2034 Li
0.7500 0.5466 0.2966 Li
0.0000 0.0000 0.8442 Ca
0.5000 0.8442 0.5000 Ca
0.1558 0.6558 0.6558 Ca
0.3442 0.5000 0.0000 Ca
0.0000 0.0000 0.4142 Mg
0.5000 0.4142 0.5000 Mg
0.5858 0.0858 0.0858 Mg
0.9142 0.5000 0.0000 Mg
```

Properties
**E above lowest polymorph**: 0.000 eV per formula unit
**Space-group type**: I2_13 (199)



Entry 15:
DFT (GGA-PBE) results for a geometry-optimized VCd2FeHg structure.

Structure (POSCAR):
```
VCd2FeHg
1.0
5.0805 0.0000 0.0000
0.0000 4.0980 0.0000
0.0000 0.0000 5.0805
Fe V Hg Cd
1 1 1 2
Direct
0.0000 0.0000 0.0000 Fe
0.0000 0.5000 0.0000 V
0.5000 0.5000 0.5000 Hg
0.0000 0.0000 0.5000 Cd
0.5000 0.0000 0.0000 Cd
```

Properties
**Space-group type**: P4/mmm (123)



Entry 16:
DFT (GGA-PBE) results for a geometry-optimized Li4NpS4 structure.

Structure (POSCAR):
```
Li4NpS4
1.0
6.2952 0.0000 0.0000
0.0000 6.2952 0.0000
-3.1476 -3.1476 5.4254
Li Np S
4 1 4
Direct
0.5000 0.0000 0.0000 Li
0.0000 0.5000 0.0000 Li
0.3020 0.3020 0.6039 Li
0.6980 0.6980 0.3961 Li
0.0000 0.0000 0.0000 Np
0.6378 0.6378 0.7575 S
0.3622 0.8803 0.2425 S
0.1197 0.1197 0.7575 S
0.8803 0.3622 0.2425 S
```

Properties
**Space-group type**: I-42m (121)
**Raw formation energy**: -1066 meV per atom



Entry 17:
DFT (GGA-PBE) results for a geometry-optimized AcEu3 structure.

Structure (POSCAR):
```
AcEu3
1.0
3.9359 0.0000 0.0000
0.0000 6.3888 0.0000
0.0000 0.0000 6.8197
Eu Ac
3 1
Direct
0.0000 0.5000 0.2508 Eu
0.5000 0.5000 0.7521 Eu
0.5000 0.0000 0.4152 Eu
0.0000 0.0000 0.9153 Ac
```

Properties
**Space-group type**: Pmm2 (25)



Entry 18:
DFT (GGA-PBE) results for a geometry-optimized Ho3MnRh4 structure.

Structure (POSCAR):
```
Ho3MnRh4
1.0
3.3527 0.0000 0.0000
0.0000 3.3527 0.0000
0.0000 0.0000 13.0957
Mn Rh Ho
1 4 3
Direct
0.5000 0.5000 0.0000 Mn
0.0000 0.0000 0.8910 Rh
0.0000 0.0000 0.1090 Rh
0.0000 0.0000 0.3694 Rh
0.0000 0.0000 0.6306 Rh
0.5000 0.5000 0.2358 Ho
0.5000 0.5000 0.5000 Ho
0.5000 0.5000 0.7642 Ho
```

Properties
**Space-group type**: P4/mmm (123)



Entry 19:
DFT (GGA-PBE) results for a geometry-optimized Tm5Te5Pt structure.

Structure (POSCAR):
```
Tm5Te5Pt
1.0
-2.9407 -3.5784 -3.9060
0.0296 -2.5677 7.0291
-6.2337 5.7325 -0.5586
Tm Te Pt
5 5 1
Direct
0.8498 0.6996 0.1536 Tm
0.8494 0.6987 0.6894 Tm
0.5000 0.0000 0.0000 Tm
0.1506 0.3013 0.3106 Tm
0.1502 0.3004 0.8464 Tm
0.6832 0.3665 0.3341 Te
0.6672 0.3344 0.8268 Te
0.0000 0.0000 0.5000 Te
0.3328 0.6656 0.1732 Te
0.3168 0.6335 0.6659 Te
0.0000 0.0000 0.0000 Pt
```

Properties
**Space-group type**: C2/m (12)
**Raw formation energy**: -1265 meV per atom



Entry 20:
DFT (GGA-PBE) results for a geometry-optimized YRe structure.

Structure (POSCAR):
```
YRe
1.0
4.8830 0.0000 0.0000
-2.4415 4.2288 0.0000
0.0000 0.0000 4.8275
Re Y
2 2
Direct
0.0000 0.0000 0.0000 Re
0.0000 0.0000 0.5000 Re
0.3333 0.6667 0.2500 Y
0.6667 0.3333 0.7500 Y
```

Properties
**Space-group type**: P6_3/mmc (194)



Entry 21:
DFT (GGA-PBE) results for a geometry-optimized K2NaIn5Ag2 structure.

Structure (POSCAR):
```
K2NaIn5Ag2
1.0
-4.1911 -0.7105 -1.5043
2.5478 -10.6645 -2.0616
-3.2330 -2.7661 10.3135
K Na In Ag
4 2 10 4
Direct
0.0000 0.6796 0.1796 K
0.0000 0.3204 0.8204 K
0.0000 0.1796 0.3204 K
0.0000 0.8204 0.6796 K
0.0000 0.0000 0.0000 Na
0.0000 0.5000 0.5000 Na
0.5000 0.2072 0.0618 In
0.5000 0.7928 0.9382 In
0.5000 0.0618 0.7928 In
0.5000 0.7072 0.4382 In
0.5000 0.9382 0.2072 In
0.5000 0.2928 0.5618 In
0.5000 0.5618 0.7072 In
0.5000 0.4382 0.2928 In
0.5000 0.5000 0.0000 In
0.5000 0.0000 0.5000 In
0.0000 0.1168 0.6168 Ag
0.0000 0.8832 0.3832 Ag
0.0000 0.6168 0.8832 Ag
0.0000 0.3832 0.1168 Ag
```

Properties
**Space-group type**: P4/mbm (127)



Entry 22:
DFT (GGA-PBE) results for a geometry-optimized Tb4Nd3Tl4 structure.

Structure (POSCAR):
```
Tb4Nd3Tl4
1.0
-2.9996 -0.1594 2.3759
1.5926 -9.5816 1.3679
6.2270 6.8026 5.2314
Tb Nd Tl
4 3 4
Direct
0.3330 0.1348 0.6659 Tb
0.6670 0.4689 0.3341 Tb
0.6670 0.8652 0.3341 Tb
0.3330 0.5311 0.6659 Tb
0.1008 0.1008 0.2017 Nd
0.8992 0.8992 0.7983 Nd
0.0000 0.5000 0.0000 Nd
0.2569 0.7569 0.5138 Tl
0.7431 0.2431 0.4862 Tl
0.5000 0.7784 0.0000 Tl
0.5000 0.2216 0.0000 Tl
```

Properties
**Space-group type**: Immm (71)



Entry 23:
DFT (GGA-PBE) results for a geometry-optimized Ho8ThIr6 structure.

Structure (POSCAR):
```
Ho8ThIr6
1.0
7.0003 0.0543 3.1808
2.0699 6.6875 3.1808
0.0731 0.0543 7.6887
Ho Th Ir
8 1 6
Direct
0.2285 0.5347 0.8967 Ho
0.1033 0.7715 0.4653 Ho
0.4653 0.1033 0.7715 Ho
0.6616 0.6616 0.6616 Ho
0.3384 0.3384 0.3384 Ho
0.5347 0.8967 0.2285 Ho
0.8967 0.2285 0.5347 Ho
0.7715 0.4653 0.1033 Ho
0.0000 0.0000 0.0000 Th
0.0582 0.3828 0.7283 Ir
0.2717 0.9418 0.6172 Ir
0.6172 0.2717 0.9418 Ir
0.3828 0.7283 0.0582 Ir
0.7283 0.0582 0.3828 Ir
0.9418 0.6172 0.2717 Ir
```

Properties
**Space-group type**: R-3 (148)



The evaluated calculated total energy for the records listed, in turn: -6.99, -5.95, -4.99, -3.22, -2.07, -7.56, -3.22, -6.46, -5.81, -4.89, -4.04, -4.17, -3.09, -1.75, -3.33, -5.19, -8.71, -7.22, -5.27, -9.17, -2.34, -4.08, -7.31 eV/atom.
The evaluated DOS at the Fermi energy for the records listed, in turn: 2.2, 3.3, 4.5, 0.7, 15.3, 2.2, 7.2, 2.4, 4.8, 5.4, 1.5, 4.6, 12.8, 10.8, 5.7, 7.4, 4.1, 2.8, 9.0, 4.5, 8.7, 11.8, 9.1 states/eV/cell.